VASP calculation (PBE-GGA) on a relaxed structure of TbYThSc.

The structure in POSCAR format:
```
TbYThSc
1.0
0.000 3.930 3.930
3.930 0.000 3.930
3.930 3.930 0.000
Tb Y Th Sc
1 1 1 1
Cartesian
0.000 0.000 0.000
1.965 1.965 1.965
5.895 5.895 5.895
3.930 3.930 3.930
```

## Properties
* raw total energy: -24.3 eV/cell
* ρ: 7.2 g/cm³
* E above lowest polymorph: 36.6 meV/atom
* V: 30.4 Å³/atom